Entry 1:
A plane-wave DFT calculation with PBE-GGA was carried out for a relaxed structure of Dy5Er2In4.

Lattice parameters (Å, degrees): 8.586 3.407 10.499 90.00 96.02 90.00
Fractional positions:
Dy (0.000, 0.000, 0.000)
Dy (0.035, 0.000, 0.332)
Dy (0.337, 0.000, 0.856)
Dy (0.663, 0.000, 0.144)
Dy (0.965, 0.000, 0.668)
Er (0.416, 0.000, 0.361)
Er (0.584, 0.000, 0.639)
In (0.254, 0.500, 0.575)
In (0.301, 0.500, 0.118)
In (0.699, 0.500, 0.882)
In (0.746, 0.500, 0.425)

Its energy is -4.1608 eV/atom. For the formation energy, the calculation gives -2.68 eV per formula unit. The calculation puts the density of states at the Fermi level at 1.13 states/eV per atom. As for the space-group type: P2/m. Its total magnetization is 0.0 Bohr magnetons per cell. Its distance to the lowest polymorph of the same formula is 0.000 eV per atom.

=====

Entry 2:
A plane-wave DFT calculation with PBE-GGA was carried out for a relaxed structure of Dy3Er4In.

Lattice parameters (Å, degrees): 27.457 3.584 5.176 90.00 91.44 90.00
Fractional positions:
Dy (0.000, 0.000, 0.000)
Dy (0.154, 0.000, 0.737)
Dy (0.346, 0.500, 0.263)
Dy (0.500, 0.500, 0.000)
Dy (0.654, 0.500, 0.737)
Dy (0.846, 0.000, 0.263)
Er (0.098, 0.500, 0.225)
Er (0.218, 0.500, 0.246)
Er (0.282, 0.000, 0.754)
Er (0.402, 0.000, 0.775)
Er (0.598, 0.000, 0.225)
Er (0.718, 0.000, 0.246)
Er (0.782, 0.500, 0.754)
Er (0.902, 0.500, 0.775)
In (0.000, 0.500, 0.500)
In (0.500, 0.000, 0.500)

Its energy is -4.2703 eV/atom. For the formation energy, the calculation gives 0.63 eV per formula unit. The calculation puts the density of states at the Fermi level at 1.42 states/eV per atom. As for the space-group type: C2/m. Its total magnetization is 0.0 Bohr magnetons per cell.

=====

Entry 3:
A plane-wave DFT calculation with PBE-GGA was carried out for a relaxed structure of Dy2Er2In5.

Lattice parameters (Å, degrees): 9.404 9.404 9.404 80.95 136.12 115.87
Fractional positions:
Dy (0.030, 0.128, 0.157)
Dy (0.030, 0.372, 0.402)
Dy (0.970, 0.628, 0.598)
Dy (0.970, 0.872, 0.843)
Er (0.436, 0.436, 0.000)
Er (0.436, 0.936, 0.500)
Er (0.551, 0.811, 0.240)
Er (0.570, 0.311, 0.760)
In (0.058, 0.423, 0.934)
In (0.058, 0.623, 0.135)
In (0.091, 0.034, 0.557)
In (0.476, 0.534, 0.443)
In (0.489, 0.123, 0.066)
In (0.489, 0.923, 0.865)
In (0.525, 0.262, 0.361)
In (0.525, 0.664, 0.763)
In (0.901, 0.164, 0.639)
In (0.901, 0.762, 0.237)

Its energy is -3.7988 eV/atom. For the formation energy, the calculation gives -2.17 eV per formula unit. The calculation puts the density of states at the Fermi level at 0.82 states/eV per atom. As for the space-group type: Ima2. Its total magnetization is 0.0 Bohr magnetons per cell.

=====

Entry 4:
A plane-wave DFT calculation with PBE-GGA was carried out for a relaxed structure of Dy2Er5In4.

Lattice parameters (Å, degrees): 8.757 8.757 8.757 145.72 107.04 83.14
Fractional positions:
Dy (0.168, 0.168, 0.000)
Dy (0.832, 0.832, 0.000)
Er (0.000, 0.500, 0.500)
Er (0.121, 0.777, 0.344)
Er (0.433, 0.777, 0.656)
Er (0.567, 0.223, 0.344)
Er (0.879, 0.223, 0.656)
In (0.214, 0.000, 0.214)
In (0.392, 0.392, 0.000)
In (0.608, 0.608, 0.000)
In (0.786, 0.000, 0.786)

Its energy is -3.8196 eV/atom. For the formation energy, the calculation gives 0.96 eV per formula unit. The calculation puts the density of states at the Fermi level at 1.02 states/eV per atom. As for the space-group type: Immm. Its total magnetization is 0.0 Bohr magnetons per cell.

=====

Entry 5:
A plane-wave DFT calculation with PBE-GGA was carried out for a relaxed structure of Dy3ErIn4.

Lattice parameters (Å, degrees): 3.753 3.753 15.017 90.00 90.00 90.00
Fractional positions:
Dy (0.000, 0.000, 0.000)
Dy (0.000, 0.000, 0.251)
Dy (0.000, 0.000, 0.749)
Er (0.000, 0.000, 0.500)
In (0.500, 0.500, 0.126)
In (0.500, 0.500, 0.377)
In (0.500, 0.500, 0.623)
In (0.500, 0.500, 0.874)

Its energy is -4.1258 eV/atom. For the formation energy, the calculation gives -3.68 eV per formula unit. The calculation puts the density of states at the Fermi level at 0.58 states/eV per atom. As for the space-group type: P4/mmm. Its total magnetization is 0.0 Bohr magnetons per cell. Its distance to the lowest polymorph of the same formula is 0.000 eV per atom.

=====

Entry 6:
A plane-wave DFT calculation with PBE-GGA was carried out for a relaxed structure of Dy5Er2In4.

Lattice parameters (Å, degrees): 15.025 15.025 15.025 166.85 147.04 35.63
Fractional positions:
Dy (0.000, 0.000, 0.000)
Dy (0.006, 0.702, 0.304)
Dy (0.398, 0.702, 0.696)
Dy (0.602, 0.298, 0.304)
Dy (0.994, 0.298, 0.696)
Er (0.096, 0.596, 0.500)
Er (0.904, 0.404, 0.500)
In (0.303, 0.803, 0.500)
In (0.321, 0.500, 0.821)
In (0.679, 0.500, 0.179)
In (0.697, 0.197, 0.500)

Its energy is -3.6049 eV/atom. For the formation energy, the calculation gives 3.44 eV per formula unit. The calculation puts the density of states at the Fermi level at 1.23 states/eV per atom. As for the space-group type: Immm. Its total magnetization is 0.0 Bohr magnetons per cell. Its distance to the lowest polymorph of the same formula is 0.556 eV per atom.

=====

Question: The lowest density of states at the Fermi level belongs to which entry?
Answer: Dy3ErIn4